Entry 1:
Here is crystalline NaCeGaBr6 at its relaxed geometry from the Alexandria database. Energies are from PBE.

a b c (Å): 6.988 6.988 13.210
angles (deg): 90.00 90.00 90.00
Positions (direct):
Na 0.000 0.000 0.000
Na 0.500 0.500 0.500
Ce 0.000 0.000 0.334
Ce 0.500 0.500 0.834
Ga 0.000 0.000 0.667
Ga 0.500 0.500 0.167
Br 0.191 0.191 0.492
Br 0.193 0.193 0.177
Br 0.215 0.215 0.836
Br 0.285 0.715 0.336
Br 0.307 0.693 0.677
Br 0.309 0.691 0.992
Br 0.691 0.309 0.992
Br 0.693 0.307 0.677
Br 0.715 0.285 0.336
Br 0.785 0.785 0.836
Br 0.807 0.807 0.177
Br 0.809 0.809 0.492

***

Entry 2:
Here is crystalline RbCeGaBr6 at its relaxed geometry from the Alexandria database. Energies are from PBE.

a b c (Å): 7.403 7.403 13.738
angles (deg): 90.00 90.00 90.00
Positions (direct):
Rb 0.000 0.000 0.000
Rb 0.500 0.500 0.500
Ce 0.000 0.000 0.338
Ce 0.500 0.500 0.838
Ga 0.000 0.000 0.664
Ga 0.500 0.500 0.164
Br 0.174 0.174 0.498
Br 0.199 0.199 0.202
Br 0.234 0.234 0.825
Br 0.266 0.734 0.325
Br 0.301 0.699 0.702
Br 0.326 0.674 0.998
Br 0.674 0.326 0.998
Br 0.699 0.301 0.702
Br 0.734 0.266 0.325
Br 0.766 0.766 0.825
Br 0.801 0.801 0.202
Br 0.826 0.826 0.498

***

Entry 3:
Here is crystalline CeGaSn2Br8 at its relaxed geometry from the Alexandria database. Energies are from PBE.

a b c (Å): 6.889 8.993 7.226
angles (deg): 90.00 90.90 90.00
Positions (direct):
Ce 0.000 0.000 0.000
Ga 0.000 0.500 0.000
Sn 0.500 0.258 0.500
Sn 0.500 0.742 0.500
Br 0.237 0.238 0.162
Br 0.237 0.762 0.162
Br 0.250 0.000 0.673
Br 0.275 0.500 0.654
Br 0.725 0.500 0.346
Br 0.750 0.000 0.327
Br 0.763 0.238 0.838
Br 0.763 0.762 0.838

***

Entry 4:
Here is crystalline CeTlGa2Br6 at its relaxed geometry from the Alexandria database. Energies are from PBE.

a b c (Å): 7.633 8.785 13.394
angles (deg): 90.00 122.73 90.00
Positions (direct):
Ce 0.000 0.000 0.000
Ce 0.000 0.500 0.500
Tl 0.500 0.000 0.500
Tl 0.500 0.500 0.000
Ga 0.310 0.081 0.801
Ga 0.310 0.419 0.301
Ga 0.690 0.581 0.699
Ga 0.690 0.919 0.199
Br 0.079 0.090 0.231
Br 0.079 0.410 0.731
Br 0.275 0.736 0.104
Br 0.275 0.764 0.604
Br 0.367 0.161 0.038
Br 0.367 0.339 0.538
Br 0.633 0.661 0.462
Br 0.633 0.839 0.962
Br 0.725 0.236 0.396
Br 0.725 0.264 0.896
Br 0.921 0.590 0.269
Br 0.921 0.910 0.769

***

Entry 5:
Here is crystalline CeTlGaBr6 at its relaxed geometry from the Alexandria database. Energies are from PBE.

a b c (Å): 7.279 7.279 13.573
angles (deg): 90.00 90.00 90.00
Positions (direct):
Ce 0.000 0.000 0.000
Ce 0.500 0.500 0.500
Tl 0.000 0.000 0.664
Tl 0.500 0.500 0.164
Ga 0.000 0.000 0.328
Ga 0.500 0.500 0.828
Br 0.179 0.179 0.159
Br 0.196 0.196 0.856
Br 0.228 0.228 0.492
Br 0.272 0.728 0.992
Br 0.304 0.696 0.356
Br 0.321 0.679 0.659
Br 0.679 0.321 0.659
Br 0.696 0.304 0.356
Br 0.728 0.272 0.992
Br 0.772 0.772 0.492
Br 0.804 0.804 0.856
Br 0.821 0.821 0.159

***

Entry 6:
Here is crystalline CeGd2Br at its relaxed geometry from the Alexandria database. Energies are from PBE.

a b c (Å): 10.434 10.434 10.434
angles (deg): 20.14 20.14 20.14
Positions (direct):
Ce 0.000 0.000 0.000
Gd 0.243 0.243 0.243
Gd 0.757 0.757 0.757
Br 0.500 0.500 0.500

***

Entry 7:
Here is crystalline CeGdSbBr at its relaxed geometry from the Alexandria database. Energies are from PBE.

a b c (Å): 5.368 5.368 5.368
angles (deg): 60.00 60.00 60.00
Positions (direct):
Ce 0.000 0.000 0.000
Gd 0.500 0.500 0.500
Sb 0.250 0.250 0.250
Br 0.750 0.750 0.750

***

Entry 8:
Here is crystalline Ce5GeBr5 at its relaxed geometry from the Alexandria database. Energies are from PBE.

a b c (Å): 7.252 7.252 8.448
angles (deg): 106.72 106.72 48.38
Positions (direct):
Ce 0.000 0.000 0.000
Ce 0.324 0.324 0.147
Ce 0.336 0.336 0.679
Ce 0.664 0.664 0.321
Ce 0.676 0.676 0.853
Ge 0.500 0.500 0.000
Br 0.151 0.151 0.804
Br 0.156 0.156 0.345
Br 0.500 0.500 0.500
Br 0.844 0.844 0.655
Br 0.849 0.849 0.196

***

| no. | calculated total energy (eV/atom) |
| --- | --- |
| 1 | -3.61 |
| 2 | -3.62 |
| 3 | -3.59 |
| 4 | -3.55 |
| 5 | -3.58 |
| 6 | -9.46 |
| 7 | -7.49 |
| 8 | -5.10 |